# Sr8P3SBr4 GGA-PBE optimized geometry
data_Sr8P3SBr4
_chemical_formula_sum 'Sr8 P3 S1 Br4'
_cell_length_a 9.0026
_cell_length_b 9.0026
_cell_length_c 9.0026
_cell_angle_alpha 59.03
_cell_angle_beta 59.03
_cell_angle_gamma 59.03
_symmetry_space_group_name_H-M 'P 1'
_symmetry_Int_Tables_number 1
loop_
_symmetry_equiv_pos_as_xyz
'x,y,z'
loop_
_atom_site_label
_atom_site_fract_x
_atom_site_fract_y
_atom_site_fract_z
Sr1 0.2321 0.7392 0.7392
Sr2 0.2372 0.2372 0.2372
Sr3 0.2608 0.2608 0.7679
Sr4 0.2608 0.7679 0.2608
Sr5 0.7392 0.2321 0.7392
Sr6 0.7392 0.7392 0.2321
Sr7 0.7628 0.7628 0.7628
Sr8 0.7679 0.2608 0.2608
P1 0.0000 0.0000 0.5000
P2 0.0000 0.5000 0.0000
P3 0.5000 0.0000 0.0000
S1 0.5000 0.5000 0.5000
Br1 0.0000 0.0000 0.0000
Br2 0.0000 0.5000 0.5000
Br3 0.5000 0.0000 0.5000
Br4 0.5000 0.5000 0.0000
# raw formation energy = -1.635 eV per atom
# space group = No. 166
# V = 504.5 Å³/cell
# DFT total energy = -0.1531 hartree per atom
# N(E_F) = 3.3 states/eV/f.u.
# crystal system = trigonal